{
  "formula": "SnCIO2",
  "functional": "GGA-PBEsol",
  "state": "relaxed",
  "spacegroup": "No. 123",
  "volume_a3_per_cell": 97,
  "e_form_raw_kj_per_mol_fu": 323,
  "mass_density_g_cm3": 5.0,
  "magmom_total_mub_per_fu": 1.22,
  "cell": [[3.843, 0.000, 0.000], [0.000, 3.843, 0.000], [0.000, 0.000, 6.553]],
  "species": ["Sn", "C", "I", "O", "O"],
  "fractional_positions": [[0.000, 0.000, 0.000], [0.500, 0.500, 0.500], [0.000, 0.000, 0.500], [0.000, 0.500, 0.000], [0.500, 0.000, 0.000]]
}